Material: TmFe2
Method: DFT, PBE
State: relaxed

Lattice parameters (Å, degrees): 5.0764 5.0764 5.0764 60.00 60.00 60.00
With the nearest neighbours (Å) after each atom.
Sites, in units of the cell vectors:
Tm: 0.1250 0.1250 0.1250  12 Fe 2.98, 4 Tm 3.11
Tm: 0.8750 0.8750 0.8750  12 Fe 2.98, 4 Tm 3.11
Fe: 0.0000 0.5000 0.5000  6 Fe 2.54
Fe: 0.5000 0.0000 0.5000  6 Fe 2.54
Fe: 0.5000 0.5000 0.0000  6 Fe 2.54
Fe: 0.5000 0.5000 0.5000  6 Fe 2.54

As for the density: 10.1 g cm⁻³. As for the energy relative to the elements: -0.4 eV/f.u. As for the magnetization: 1.05 μB per atom. The value obtained for the raw total energy is -7.27 eV/atom.

Material: Tm4Fe
Method: DFT, PBE
State: relaxed

Lattice parameters (Å, degrees): 5.1759 5.1759 5.1759 90.00 90.00 90.00
With the nearest neighbours (Å) after each atom.
Sites, in units of the cell vectors:
Tm: 0.0000 0.0000 0.0000  12 Tm 3.66
Tm: 0.0000 0.5000 0.5000  2 Fe 2.59
Tm: 0.5000 0.0000 0.5000  2 Fe 2.59
Tm: 0.5000 0.5000 0.0000  2 Fe 2.59
Fe: 0.5000 0.5000 0.5000  6 Tm 2.59

As for the density: 8.8 g cm⁻³. As for the energy relative to the elements: 0.5 eV/f.u. As for the magnetization: 0.00 μB per atom. The value obtained for the raw total energy is -5.17 eV/atom.